# 1
Rb3Np2ScTe6 | PBE-GGA | optimized geometry

```
Rb3Np2ScTe6
1.0
3.9111 -6.7746 0.0000
3.9111 6.7746 0.0000
-2.6133 0.0000 8.5222
Rb Np Sc Te
3 2 1 6
Cartesian
0.0000 0.0000 0.0000 Rb
3.9111 2.2980 0.0000 Rb
3.9111 -2.2980 0.0000 Rb
2.6045 4.5201 4.2611 Np
2.6045 -4.5201 4.2611 Np
2.6045 0.0000 4.2611 Sc
1.3545 2.1679 2.5881 Te
0.1025 0.0000 5.9415 Te
1.3545 -2.1679 2.5881 Te
3.8545 2.1679 5.9341 Te
5.1065 0.0000 2.5807 Te
3.8545 -2.1679 5.9341 Te
```

Results
Electronic total energy ... -65.83 eV for the cell shown
ΔE_f (raw) ... -95.41 kJ per mole of atoms

---

# 2
Rb4NpSc3Te8 | PBE-GGA | optimized geometry

```
Rb4NpSc3Te8
1.0
4.4135 2.5481 8.4921
-4.4135 2.5481 8.4921
0.0000 -5.0963 8.4921
Rb Np Sc Te
4 1 3 8
Cartesian
0.0000 0.0000 0.0000 Rb
-2.2067 -1.2741 8.4921 Rb
-2.2067 1.2741 16.9843 Rb
0.0000 2.5481 8.4921 Rb
0.0000 0.0000 12.7382 Np
-4.4135 0.0000 12.7382 Sc
-2.2067 1.2741 4.2461 Sc
2.2067 1.2741 4.2461 Sc
-2.2981 -1.3268 14.3753 Te
0.0000 0.0000 5.8449 Te
0.0000 -2.6537 11.1011 Te
-2.2981 1.3268 11.1011 Te
2.2981 -1.3268 14.3753 Te
0.0000 2.6537 14.3753 Te
0.0000 0.0000 19.6315 Te
2.2981 1.3268 11.1011 Te
```

Results
Electronic total energy ... -79.11 eV for the cell shown
ΔE_f (raw) ... -109.55 kJ per mole of atoms

---

# 3
RbNpSe2 | PBE-GGA | optimized geometry

```
RbNpSe2
1.0
3.6598 0.0000 0.0000
0.0000 3.6598 0.0000
0.0000 0.0000 8.1985
Rb Np Se
1 1 2
Cartesian
0.0000 0.0000 0.0000 Rb
0.0000 0.0000 4.0993 Np
1.8299 1.8299 2.4487 Se
1.8299 1.8299 5.7498 Se
```

Results
Electronic total energy ... -25.29 eV for the cell shown
ΔE_f (raw) ... -106.47 kJ per mole of atoms

---

# 4
Rb5NpSe6 | PBE-GGA | optimized geometry

```
Rb5NpSe6
1.0
4.1821 -7.1624 0.0000
4.1821 7.1624 0.0000
-2.8748 0.0000 7.6357
Rb Np Se
5 1 6
Cartesian
0.0000 0.0000 0.0000 Rb
2.7447 4.7867 3.8178 Rb
4.1821 2.4870 0.0000 Rb
4.1821 -2.4870 0.0000 Rb
2.7447 -4.7867 3.8178 Rb
2.7447 0.0000 3.8178 Np
1.6508 1.9162 2.2458 Se
0.5504 0.0000 5.3636 Se
1.6508 -1.9162 2.2458 Se
3.8386 1.9162 5.3899 Se
4.9390 0.0000 2.2720 Se
3.8386 -1.9162 5.3899 Se
```

Results
Electronic total energy ... -51.15 eV for the cell shown
ΔE_f (raw) ... -100.25 kJ per mole of atoms

---

# 5
Rb3NpSe3 | PBE-GGA | optimized geometry

```
Rb3NpSe3
1.0
4.6089 -6.9924 0.0000
4.6089 6.9924 0.0000
-3.0344 0.0000 8.5421
Rb Np Se
6 2 6
Cartesian
4.6089 4.5501 0.0000 Rb
3.0917 2.8497 4.2710 Rb
3.2852 0.0000 1.0268 Rb
2.8982 0.0000 7.5153 Rb
3.0917 -2.8497 4.2710 Rb
4.6089 -4.5501 0.0000 Rb
-0.8432 0.0000 5.2023 Np
7.0265 0.0000 3.3398 Np
0.1836 2.0457 6.6515 Se
0.5523 0.0000 2.7843 Se
0.1836 -2.0457 6.6515 Se
5.9997 2.0457 1.8905 Se
5.6310 0.0000 5.7578 Se
5.9997 -2.0457 1.8905 Se
```

Results
Electronic total energy ... -67.41 eV for the cell shown
ΔE_f (raw) ... -102.09 kJ per mole of atoms

---

# 6
RbNp4Se8 | PBE-GGA | optimized geometry

```
RbNp4Se8
1.0
8.9421 -2.1377 0.0000
8.9421 2.1377 0.0000
-7.4510 0.0000 10.2675
Rb Np Se
1 4 8
Cartesian
0.0000 0.0000 0.0000 Rb
-4.0301 0.0000 7.3854 Np
1.6995 0.0000 4.9051 Np
7.0192 0.0000 4.1775 Np
13.3120 0.0000 0.7680 Np
-1.2072 0.0000 5.9223 Se
-2.0005 0.0000 9.4875 Se
3.3202 0.0000 2.2651 Se
4.5845 0.0000 5.5038 Se
3.9176 0.0000 9.0614 Se
9.6402 0.0000 3.2850 Se
10.9711 0.0000 6.7508 Se
15.5816 0.0000 2.3766 Se
```

Results
Electronic total energy ... -95.24 eV for the cell shown
ΔE_f (raw) ... -108.62 kJ per mole of atoms
Excess energy over the best structure of this formula in the dataset ... 0.000 eV per atom

---

# 7
RbNp4Se8 | PBE-GGA | optimized geometry

```
RbNp4Se8
1.0
0.0000 6.1174 6.1174
6.1174 0.0000 6.1174
6.1174 6.1174 0.0000
Rb Np Se
1 4 8
Cartesian
0.0000 0.0000 0.0000 Rb
7.6183 4.6166 4.6166 Np
4.6166 7.6183 4.6166 Np
4.6166 4.6166 7.6183 Np
7.6183 7.6183 7.6183 Np
4.7671 4.7671 4.7671 Se
7.4677 7.4677 4.7671 Se
7.4677 4.7671 7.4677 Se
10.4440 7.9083 7.9083 Se
4.7671 7.4677 7.4677 Se
7.9083 10.4440 7.9083 Se
7.9083 7.9083 10.4440 Se
10.4440 10.4440 10.4440 Se
```

Results
Electronic total energy ... -94.61 eV for the cell shown
ΔE_f (raw) ... -103.94 kJ per mole of atoms
Excess energy over the best structure of this formula in the dataset ... 0.049 eV per atom

---

# 8
Rb5NpSe4 | PBE-GGA | optimized geometry

```
Rb5NpSe4
1.0
10.2027 -2.3314 0.0000
10.2027 2.3314 0.0000
-1.5078 0.0000 9.0375
Rb Np Se
5 1 4
Cartesian
0.0000 0.0000 0.0000 Rb
5.6043 0.0000 5.8126 Rb
6.8538 0.0000 1.5242 Rb
12.0439 0.0000 7.5133 Rb
13.2934 0.0000 3.2249 Rb
-0.7539 0.0000 4.5188 Np
2.0297 0.0000 5.2913 Se
8.9245 0.0000 6.3991 Se
9.9731 0.0000 2.6384 Se
16.8679 0.0000 3.7462 Se
```

Results
Electronic total energy ... -41.57 eV for the cell shown
ΔE_f (raw) ... -95.07 kJ per mole of atoms

---

# 9
Rb4NpSe5 | PBE-GGA | optimized geometry

```
Rb4NpSe5
1.0
-5.3254 5.3254 3.4063
5.3254 -5.3254 3.4063
5.3254 5.3254 -3.4063
Rb Np Se
4 1 5
Cartesian
3.1859 1.0391 0.0000 Rb
4.2863 -2.1395 3.4063 Rb
1.0391 7.4650 0.0000 Rb
2.1395 4.2863 3.4063 Rb
0.0000 0.0000 3.6033 Np
6.1425 2.7841 -0.0078 Se
2.7841 4.5084 -0.0078 Se
2.5414 0.8171 3.3985 Se
-0.8171 2.5414 3.3985 Se
0.0000 0.0000 6.2571 Se
```

Results
Electronic total energy ... -44.78 eV for the cell shown
ΔE_f (raw) ... -101.74 kJ per mole of atoms

---

# 10
Rb2NpSe4 | PBE-GGA | optimized geometry

```
Rb2NpSe4
1.0
-2.7233 2.7233 8.6701
2.7233 -2.7233 8.6701
2.7233 2.7233 -8.6701
Rb Np Se
2 1 4
Cartesian
0.0000 0.0000 2.5043 Rb
0.0000 0.0000 14.8358 Rb
0.0000 0.0000 8.6701 Np
2.7233 0.0000 0.0000 Se
0.0000 0.0000 6.0490 Se
0.0000 2.7233 0.0000 Se
0.0000 0.0000 11.2911 Se
```

Results
Electronic total energy ... -36.06 eV for the cell shown
ΔE_f (raw) ... -99.92 kJ per mole of atoms
Excess energy over the best structure of this formula in the dataset ... 0.000 eV per atom

---

# 11
RbNp4Se6 | PBE-GGA | optimized geometry

```
RbNp4Se6
1.0
-3.9436 3.9436 5.1318
3.9436 -3.9436 5.1318
3.9436 3.9436 -5.1318
Rb Np Se
1 4 6
Cartesian
0.0000 0.0000 0.0000 Rb
2.5443 2.5443 -0.9122 Np
1.3993 -1.3993 6.0440 Np
1.3993 1.3993 4.2196 Np
-1.3993 1.3993 6.0440 Np
3.9436 0.0000 0.0000 Se
1.2576 -1.2576 3.0604 Se
-1.2576 1.2576 3.0604 Se
0.0000 3.9436 0.0000 Se
2.6861 2.6861 2.0714 Se
1.2576 1.2576 7.2032 Se
```

Results
Electronic total energy ... -83.14 eV for the cell shown
ΔE_f (raw) ... -83.38 kJ per mole of atoms
Excess energy over the best structure of this formula in the dataset ... 0.228 eV per atom

---

# 12
RbNpSe4 | PBE-GGA | optimized geometry

```
RbNpSe4
1.0
6.5382 0.0000 0.0000
0.0000 6.5382 0.0000
0.0000 0.0000 7.8986
Rb Np Se
2 2 8
Cartesian
0.0000 0.0000 1.9746 Rb
0.0000 0.0000 5.9239 Rb
3.2691 3.2691 1.9746 Np
3.2691 3.2691 5.9239 Np
1.0930 2.6416 0.0000 Se
1.0930 3.8966 3.9493 Se
2.6416 1.0930 3.9493 Se
2.6416 5.4451 0.0000 Se
3.8966 1.0930 0.0000 Se
3.8966 5.4451 3.9493 Se
5.4451 2.6416 3.9493 Se
5.4451 3.8966 0.0000 Se
```

Results
Electronic total energy ... -65.82 eV for the cell shown
ΔE_f (raw) ... -81.46 kJ per mole of atoms
Excess energy over the best structure of this formula in the dataset ... 0.030 eV per atom

---

# 13
Rb3Np2Se6 | PBE-GGA | optimized geometry

```
Rb3Np2Se6
1.0
-2.7174 2.7174 14.1047
2.7174 -2.7174 14.1047
2.7174 2.7174 -14.1047
Rb Np Se
3 2 6
Cartesian
0.0000 0.0000 0.0000 Rb
0.0000 0.0000 5.1763 Rb
0.0000 0.0000 23.0331 Rb
0.0000 0.0000 11.2810 Np
0.0000 0.0000 16.9284 Np
2.7174 0.0000 2.3789 Se
0.0000 0.0000 8.6916 Se
2.7174 0.0000 11.7258 Se
0.0000 2.7174 2.3789 Se
0.0000 0.0000 19.5179 Se
0.0000 2.7174 11.7258 Se
```

Results
Electronic total energy ... -61.20 eV for the cell shown
ΔE_f (raw) ... -100.98 kJ per mole of atoms

---

# 14
RbNp4Se6 | PBE-GGA | optimized geometry

```
RbNp4Se6
1.0
2.0869 -6.8983 0.0000
2.0869 6.8983 0.0000
0.0000 0.0000 21.6938
Rb Np Se
2 8 12
Cartesian
2.0869 4.6544 16.2703 Rb
2.0869 -4.6544 5.4234 Rb
2.0869 5.5805 2.7449 Np
2.0869 5.5805 8.1020 Np
2.0869 1.8784 0.8198 Np
2.0869 1.8784 10.0271 Np
2.0869 -1.8784 11.6667 Np
2.0869 -1.8784 20.8740 Np
2.0869 -5.5805 13.5917 Np
2.0869 -5.5805 18.9489 Np
0.0000 0.0000 0.0000 Se
0.0000 0.0000 10.8469 Se
2.0869 4.8866 5.4234 Se
2.0869 3.2158 12.6534 Se
2.0869 3.2158 19.8873 Se
2.0869 0.5117 3.3077 Se
2.0869 0.5117 7.5391 Se
2.0869 -0.5117 14.1546 Se
2.0869 -0.5117 18.3860 Se
2.0869 -3.2158 1.8065 Se
2.0869 -3.2158 9.0404 Se
2.0869 -4.8866 16.2703 Se
```

Results
Electronic total energy ... -171.31 eV for the cell shown
ΔE_f (raw) ... -105.43 kJ per mole of atoms
Excess energy over the best structure of this formula in the dataset ... 0.000 eV per atom

---

# 15
Rb2NpSe4 | PBE-GGA | optimized geometry

```
Rb2NpSe4
1.0
7.7108 0.0000 0.0000
0.0000 4.2654 0.0000
-3.7030 0.0000 8.0120
Rb Np Se
2 1 4
Cartesian
0.4712 0.0000 2.6579 Rb
3.5366 0.0000 5.3541 Rb
3.8554 2.1327 0.0000 Np
-1.5693 0.0000 7.6141 Se
0.6779 2.1327 5.4538 Se
3.3299 2.1327 2.5583 Se
5.5771 0.0000 0.3979 Se
```

Results
Electronic total energy ... -35.53 eV for the cell shown
ΔE_f (raw) ... -92.58 kJ per mole of atoms
Excess energy over the best structure of this formula in the dataset ... 0.076 eV per atom

---

# 16
RbNpSe2 | PBE-GGA | optimized geometry

```
RbNpSe2
1.0
2.1351 1.2327 8.1192
-2.1351 1.2327 8.1192
0.0000 -2.4654 8.1192
Rb Np Se
1 1 2
Cartesian
0.0000 0.0000 0.0000 Rb
0.0000 0.0000 20.2320 Np
0.0000 0.0000 5.5808 Se
0.0000 0.0000 10.5344 Se
```

Results
Electronic total energy ... -25.75 eV for the cell shown
ΔE_f (raw) ... -117.55 kJ per mole of atoms

---

# 17
RbNpSe4 | PBE-GGA | optimized geometry

```
RbNpSe4
1.0
6.3140 0.0000 0.0000
0.0000 6.3140 0.0000
0.0000 0.0000 8.6979
Rb Np Se
2 2 8
Cartesian
1.5785 1.5785 0.0000 Rb
4.7355 4.7355 0.0000 Rb
1.5785 1.5785 4.3489 Np
4.7355 4.7355 4.3489 Np
0.6988 3.8558 2.6451 Se
0.6988 5.6152 6.0528 Se
2.4582 3.8558 6.0528 Se
2.4582 5.6152 2.6451 Se
3.8558 0.6988 6.0528 Se
3.8558 2.4582 2.6451 Se
5.6152 0.6988 2.6451 Se
5.6152 2.4582 6.0528 Se
```

Results
Electronic total energy ... -66.18 eV for the cell shown
ΔE_f (raw) ... -84.33 kJ per mole of atoms
Excess energy over the best structure of this formula in the dataset ... 0.000 eV per atom

---

# 18
Rb2Np3Se6 | PBE-GGA | optimized geometry

```
Rb2Np3Se6
1.0
3.6435 -6.3105 0.0000
3.6435 6.3105 0.0000
-2.4279 0.0000 8.1684
Rb Np Se
2 3 6
Cartesian
3.6435 4.2064 0.0000 Rb
3.6435 -4.2064 0.0000 Rb
-1.2140 0.0000 4.0842 Np
2.4295 2.0993 4.0842 Np
2.4295 -2.0993 4.0842 Np
-0.0010 2.1076 5.6378 Se
1.2113 0.0000 2.5297 Se
-0.0010 -2.1076 5.6378 Se
4.8600 2.1076 2.5305 Se
3.6477 0.0000 5.6386 Se
4.8600 -2.1076 2.5305 Se
```

Results
Electronic total energy ... -75.32 eV for the cell shown
ΔE_f (raw) ... -119.79 kJ per mole of atoms

---

# 19
Rb3Sm2NpSe6 | PBE-GGA | optimized geometry

```
Rb3Sm2NpSe6
1.0
3.7522 -6.4909 0.0000
3.7522 6.4909 0.0000
-2.4915 0.0000 8.0081
Rb Sm Np Se
3 2 1 6
Cartesian
0.0000 0.0000 0.0000 Rb
3.7522 2.1794 0.0000 Rb
3.7522 -2.1794 0.0000 Rb
2.5065 4.3377 4.0040 Sm
2.5065 -4.3377 4.0040 Sm
2.5065 0.0000 4.0040 Np
1.2559 2.1543 2.4178 Se
0.0146 0.0000 5.5981 Se
1.2559 -2.1543 2.4178 Se
3.7571 2.1543 5.5903 Se
4.9984 0.0000 2.4100 Se
3.7571 -2.1543 5.5903 Se
```

Results
Electronic total energy ... -64.92 eV for the cell shown
ΔE_f (raw) ... -150.64 kJ per mole of atoms

---

# 20
Rb4SmNp3Se8 | PBE-GGA | optimized geometry

```
Rb4SmNp3Se8
1.0
4.3138 2.4906 7.9855
-4.3138 2.4906 7.9855
0.0000 -4.9811 7.9855
Rb Sm Np Se
4 1 3 8
Cartesian
0.0000 0.0000 0.0000 Rb
-2.1569 -1.2453 7.9855 Rb
-2.1569 1.2453 15.9710 Rb
0.0000 2.4906 7.9855 Rb
0.0000 0.0000 11.9783 Sm
-4.3138 0.0000 11.9783 Np
-2.1569 1.2453 3.9927 Np
2.1569 1.2453 3.9928 Np
0.0000 0.0000 5.5371 Se
-2.1682 -1.2518 13.5547 Se
0.0000 -2.5036 10.4019 Se
-2.1682 1.2518 10.4019 Se
2.1682 -1.2518 13.5547 Se
0.0000 2.5036 13.5547 Se
2.1682 1.2518 10.4018 Se
0.0000 0.0000 18.4194 Se
```

Results
Electronic total energy ... -97.02 eV for the cell shown
ΔE_f (raw) ... -131.02 kJ per mole of atoms

---

So what do the calculations give for volume? Going down the list: 37.63 35.82 27.45 38.12 39.33 30.20 35.22 42.99 38.64 36.74 29.02 28.14 37.87 28.39 37.64 32.05 28.90 34.15 32.51 32.17 A^3/atom.